Below is a geometry-optimized CaScTl2 structure, with properties calculated at the PBE level.

Cell: 8.206 8.206 6.772 Å, 52.71 52.71 90.00°
Positions (direct):
1 Sc 0.000 0.000 0.000
2 Sc 0.750 0.250 0.500
3 Tl 0.875 0.894 0.750
4 Tl 0.644 0.125 0.250
5 Tl 0.375 0.356 0.750
6 Tl 0.106 0.625 0.250
7 Ca 0.250 0.750 0.500
8 Ca 0.500 0.500 0.000

- uncorrected energy (Ry per atom) = -0.242
- space group = I-42d (122)
- formation energy from the elements (meV/atom) = -29

---

Below is a geometry-optimized CaScTl2 structure, with properties calculated at the PBE level.

Cell: 5.313 3.702 5.312 Å, 90.00 90.00 90.00°
Positions (direct):
1 Tl 0.000 0.125 0.875
2 Tl 0.500 0.125 0.376
3 Sc 0.500 0.625 0.875
4 Ca 0.000 0.625 0.375

- uncorrected energy (Ry per atom) = -0.262
- space group = P4/mmm (123)
- formation energy from the elements (meV/atom) = -304

---

Below is a geometry-optimized CaSc2Tl2 structure, with properties calculated at the PBE level.

Cell: 8.811 8.811 3.335 Å, 90.00 90.00 90.00°
Each line ends with the local moment (μB).
Positions (direct):
1 Ca 0.000 0.000 0.000  0.01
2 Ca 0.500 0.500 0.000  0.01
3 Tl 0.178 0.678 0.500  0.00
4 Tl 0.822 0.322 0.500  0.00
5 Tl 0.322 0.178 0.500  0.00
6 Tl 0.678 0.822 0.500  0.00
7 Sc 0.621 0.121 0.000  0.25
8 Sc 0.121 0.379 0.000  0.25
9 Sc 0.879 0.621 0.000  0.25
10 Sc 0.379 0.879 0.000  0.25

- uncorrected energy (Ry per atom) = -0.301
- space group = P4/mbm (127)
- formation energy from the elements (meV/atom) = -215

---

Below is a geometry-optimized CaSc2Tl structure, with properties calculated at the PBE level.

Cell: 3.432 4.622 6.715 Å, 90.00 90.00 90.00°
Each line ends with the local moment (μB).
Positions (direct):
1 Sc 0.500 0.500 0.247  0.10
2 Sc 0.000 0.000 0.030  0.12
3 Tl 0.000 0.000 0.482  0.00
4 Ca 0.500 0.500 0.741  0.01

- uncorrected energy (Ry per atom) = -0.319
- space group = Pmm2 (25)
- formation energy from the elements (meV/atom) = -86

---

Below is a geometry-optimized CaSc2Tl2 structure, with properties calculated at the PBE level.

Cell: 8.784 8.784 3.438 Å, 90.00 90.00 90.00°
Positions (direct):
1 Tl 0.167 0.333 0.000
2 Tl 0.667 0.167 0.000
3 Tl 0.833 0.667 0.000
4 Tl 0.333 0.833 0.000
5 Ca 0.000 0.000 0.000
6 Ca 0.500 0.500 0.000
7 Sc 0.366 0.134 0.500
8 Sc 0.134 0.634 0.500
9 Sc 0.634 0.866 0.500
10 Sc 0.866 0.366 0.500

- uncorrected energy (Ry per atom) = -0.302
- space group = P4/mbm (127)
- formation energy from the elements (meV/atom) = -235

---

Below is a geometry-optimized CaScTl2 structure, with properties calculated at the PBE level.

Cell: 5.431 5.431 5.431 Å, 60.00 60.00 60.00°
Positions (direct):
1 Ca 0.500 0.500 0.500
2 Sc 0.750 0.750 0.750
3 Tl 0.000 0.000 0.000
4 Tl 0.250 0.250 0.250

- uncorrected energy (Ry per atom) = -0.234
- space group = F-43m (216)
- formation energy from the elements (meV/atom) = 80

---

Below is a geometry-optimized CaSc2Tl structure, with properties calculated at the PBE level.

Cell: 5.733 5.733 5.733 Å, 131.34 131.34 71.27°
Each line ends with the local moment (μB).
Positions (direct):
1 Ca 0.750 0.250 0.500  0.03
2 Sc 0.000 0.000 0.000  0.26
3 Sc 0.500 0.500 0.000  0.26
4 Tl 0.250 0.750 0.500  -0.01

- uncorrected energy (Ry per atom) = -0.314
- space group = I4/mmm (139)
- formation energy from the elements (meV/atom) = -13

---

Below is a geometry-optimized CaScTl2 structure, with properties calculated at the PBE level.

Cell: 3.627 4.878 6.367 Å, 90.00 90.00 90.00°
Positions (direct):
1 Sc 0.500 0.500 0.806
2 Tl 0.500 0.500 0.281
3 Tl 0.000 0.000 0.949
4 Ca 0.000 0.000 0.463

- uncorrected energy (Ry per atom) = -0.249
- space group = Pmm2 (25)
- formation energy from the elements (meV/atom) = -118

---

Below is a geometry-optimized CaSc2Tl structure, with properties calculated at the PBE level.

Cell: 6.321 6.321 5.117 Å, 66.15 66.15 34.95°
Positions (direct):
1 Ca 0.231 0.231 0.270
2 Sc 0.007 0.007 0.993
3 Sc 0.771 0.771 0.729
4 Tl 0.491 0.491 0.509

- uncorrected energy (Ry per atom) = -0.316
- space group = Imm2 (44)
- formation energy from the elements (meV/atom) = -40

---

Below is a geometry-optimized CaSc2Tl structure, with properties calculated at the PBE level.

Cell: 5.072 3.478 6.439 Å, 75.28 90.00 90.00°
Positions (direct):
1 Sc 0.000 0.081 0.032
2 Sc 0.000 0.419 0.468
3 Ca 0.500 0.750 0.750
4 Tl 0.500 0.250 0.250

- uncorrected energy (Ry per atom) = -0.314
- space group = P2/m (10)
- formation energy from the elements (meV/atom) = -17

---

Below is a geometry-optimized CaSc3Tl structure, with properties calculated at the PBE level.

Cell: 5.484 5.484 5.484 Å, 90.00 90.00 90.00°
Positions (direct):
1 Sc 0.000 0.500 0.000
2 Sc 0.500 0.000 0.000
3 Sc 0.000 0.000 0.500
4 Tl 0.000 0.000 0.000
5 Ca 0.500 0.500 0.500

- uncorrected energy (Ry per atom) = -0.317
- space group = Pm-3m (221)
- formation energy from the elements (meV/atom) = 361

---

Below is a geometry-optimized CaSc2Tl structure, with properties calculated at the PBE level.

Cell: 3.455 4.554 6.788 Å, 90.00 90.00 90.00°
Each line ends with the local moment (μB).
Positions (direct):
1 Tl 0.500 0.500 0.250  0.00
2 Sc 0.000 0.000 0.475  0.29
3 Sc 0.000 0.000 0.025  0.29
4 Ca 0.500 0.500 0.750  0.03

- uncorrected energy (Ry per atom) = -0.312
- space group = Pmmm (47)
- formation energy from the elements (meV/atom) = 9

---

Below is a geometry-optimized CaSc3Tl structure, with properties calculated at the PBE level.

Cell: 5.241 5.241 5.241 Å, 90.00 90.00 90.00°
Positions (direct):
1 Sc 0.500 0.000 0.000
2 Sc 0.000 0.500 0.000
3 Sc 0.000 0.000 0.500
4 Tl 0.500 0.500 0.500
5 Ca 0.000 0.000 0.000

- uncorrected energy (Ry per atom) = -0.267
- space group = Pm-3m (221)
- formation energy from the elements (meV/atom) = 1040

---

Below is a geometry-optimized CaScTl2 structure, with properties calculated at the PBE level.

Cell: 5.227 5.227 6.366 Å, 78.09 78.09 41.76°
Positions (direct):
1 Ca 0.750 0.750 0.750
2 Sc 0.250 0.250 0.250
3 Tl 0.505 0.505 0.469
4 Tl 0.995 0.995 0.031

- uncorrected energy (Ry per atom) = -0.257
- space group = C2/m (12)
- formation energy from the elements (meV/atom) = -223

---

Below is a geometry-optimized CaScTl2 structure, with properties calculated at the PBE level.

Cell: 3.701 3.746 8.430 Å, 63.65 90.00 90.00°
Positions (direct):
1 Ca 0.500 0.250 0.250
2 Tl 0.000 0.479 0.520
3 Tl 0.000 0.021 0.980
4 Sc 0.500 0.750 0.750

- uncorrected energy (Ry per atom) = -0.265
- space group = Pmmm (47)
- formation energy from the elements (meV/atom) = -337

---

Below is a geometry-optimized CaScTl2 structure, with properties calculated at the PBE level.

Cell: 3.617 3.617 8.785 Å, 90.00 90.00 90.10°
Each line ends with the local moment (μB).
Positions (direct):
1 Tl 0.000 0.000 0.990  0.01
2 Tl 0.500 0.500 0.230  0.00
3 Sc 0.500 0.500 0.785  0.25
4 Ca 0.000 0.000 0.495  0.01

- uncorrected energy (Ry per atom) = -0.243
- space group = Cmm2 (35)
- formation energy from the elements (meV/atom) = -44

---

Below is a geometry-optimized CaSc2Tl structure, with properties calculated at the PBE level.

Cell: 4.470 4.470 11.680 Å, 78.97 78.97 90.00°
Each line ends with the local moment (μB).
Positions (direct):
1 Sc 0.875 0.898 0.750  0.19
2 Sc 0.648 0.125 0.250  0.23
3 Sc 0.375 0.352 0.750  0.20
4 Sc 0.102 0.625 0.250  0.22
5 Ca 0.250 0.750 0.500  0.02
6 Ca 0.500 0.500 0.000  0.01
7 Tl 0.000 0.000 0.000  0.00
8 Tl 0.750 0.250 0.500  0.00

- uncorrected energy (Ry per atom) = -0.297
- space group = I-42d (122)
- formation energy from the elements (meV/atom) = 213

---

Below is a geometry-optimized Ca4ScTl structure, with properties calculated at the PBE level.

Cell: 6.736 6.736 6.736 Å, 60.00 60.00 60.00°
Each line ends with the local moment (μB).
Positions (direct):
1 Ca 0.376 0.376 0.873  0.07
2 Ca 0.873 0.376 0.376  0.07
3 Ca 0.376 0.873 0.376  0.07
4 Ca 0.376 0.376 0.376  0.07
5 Tl 0.000 0.000 0.000  0.01
6 Sc 0.750 0.750 0.750  0.58

- uncorrected energy (Ry per atom) = -0.179
- space group = F-43m (216)
- formation energy from the elements (meV/atom) = 354

---

Below is a geometry-optimized Ca2ScTl2 structure, with properties calculated at the PBE level.

Cell: 8.461 8.461 4.087 Å, 90.00 90.00 90.00°
Positions (direct):
1 Tl 0.361 0.861 0.000
2 Tl 0.139 0.361 0.000
3 Tl 0.639 0.139 0.000
4 Tl 0.861 0.639 0.000
5 Ca 0.336 0.164 0.500
6 Ca 0.164 0.664 0.500
7 Ca 0.664 0.836 0.500
8 Ca 0.836 0.336 0.500
9 Sc 0.500 0.500 0.000
10 Sc 0.000 0.000 0.000

- uncorrected energy (Ry per atom) = -0.239
- space group = P4/mbm (127)
- formation energy from the elements (meV/atom) = -234

---

Below is a geometry-optimized CaScTl2 structure, with properties calculated at the PBE level.

Cell: 3.624 3.624 10.010 Å, 79.57 79.57 60.00°
Positions (direct):
1 Tl 0.079 0.079 0.762
2 Tl 0.254 0.254 0.238
3 Sc 0.667 0.667 0.998
4 Ca 0.499 0.499 0.502

- uncorrected energy (Ry per atom) = -0.255
- space group = R3m (160)
- formation energy from the elements (meV/atom) = -199

---

Below is a geometry-optimized CaSc2Tl2 structure, with properties calculated at the PBE level.

Cell: 4.567 4.567 7.494 Å, 72.26 72.26 90.00°
Each line ends with the local moment (μB).
Positions (direct):
1 Sc 0.750 0.250 0.500  0.23
2 Sc 0.250 0.750 0.500  0.23
3 Tl 0.393 0.393 0.214  0.00
4 Tl 0.607 0.607 0.786  0.00
5 Ca 0.000 0.000 0.000  0.00

- uncorrected energy (Ry per atom) = -0.295
- space group = I4/mmm (139)
- formation energy from the elements (meV/atom) = -131

---

Below is a geometry-optimized CaSc2Tl structure, with properties calculated at the PBE level.

Cell: 6.483 6.483 5.308 Å, 65.86 65.86 32.52°
Positions (direct):
1 Tl 0.750 0.750 0.750
2 Sc 0.469 0.469 0.531
3 Sc 0.031 0.031 0.969
4 Ca 0.250 0.250 0.250

- uncorrected energy (Ry per atom) = -0.322
- space group = Immm (71)
- formation energy from the elements (meV/atom) = -118

---

Below is a geometry-optimized CaScTl2 structure, with properties calculated at the PBE level.

Cell: 10.039 10.039 10.039 Å, 20.72 20.72 20.72°
Positions (direct):
1 Sc 0.750 0.750 0.750
2 Tl 0.496 0.496 0.496
3 Tl 0.004 0.004 0.004
4 Ca 0.250 0.250 0.250

- uncorrected energy (Ry per atom) = -0.257
- space group = R-3m (166)
- formation energy from the elements (meV/atom) = -224

---

Below is a geometry-optimized Ca3ScTl4 structure, with properties calculated at the PBE level.

Cell: 3.769 3.769 15.633 Å, 90.00 90.00 90.00°
Positions (direct):
1 Ca 0.500 0.500 0.759
2 Ca 0.500 0.500 0.500
3 Ca 0.500 0.500 0.241
4 Tl 0.000 0.000 0.630
5 Tl 0.000 0.000 0.111
6 Tl 0.000 0.000 0.370
7 Tl 0.000 0.000 0.889
8 Sc 0.500 0.500 0.000

- uncorrected energy (Ry per atom) = -0.229
- space group = P4/mmm (123)
- formation energy from the elements (meV/atom) = -384

---

Below is a geometry-optimized CaSc2Tl structure, with properties calculated at the PBE level.

Cell: 5.296 5.296 5.296 Å, 60.00 60.00 60.00°
Each line ends with the local moment (μB).
Positions (direct):
1 Sc 0.250 0.250 0.250  0.41
2 Sc 0.000 0.000 0.000  0.26
3 Ca 0.500 0.500 0.500  0.03
4 Tl 0.750 0.750 0.750  -0.01

- uncorrected energy (Ry per atom) = -0.311
- space group = F-43m (216)
- formation energy from the elements (meV/atom) = 25

---

Below is a geometry-optimized CaScTl2 structure, with properties calculated at the PBE level.

Cell: 6.240 6.240 6.240 Å, 137.92 137.92 61.02°
Positions (direct):
1 Tl 0.000 0.000 0.000
2 Tl 0.250 0.750 0.500
3 Sc 0.750 0.250 0.500
4 Ca 0.500 0.500 0.000

- uncorrected energy (Ry per atom) = -0.252
- space group = I-4m2 (119)
- formation energy from the elements (meV/atom) = -167

---

Below is a geometry-optimized Ca2ScTl2 structure, with properties calculated at the PBE level.

Cell: 9.171 9.171 3.479 Å, 90.00 90.00 90.00°
Each line ends with the local moment (μB).
Positions (direct):
1 Ca 0.630 0.130 0.000  0.00
2 Ca 0.130 0.370 0.000  0.00
3 Ca 0.370 0.870 0.000  0.00
4 Ca 0.870 0.630 0.000  0.00
5 Sc 0.000 0.000 0.000  0.37
6 Sc 0.500 0.500 0.000  0.37
7 Tl 0.171 0.671 0.500  0.00
8 Tl 0.329 0.171 0.500  0.00
9 Tl 0.671 0.829 0.500  0.00
10 Tl 0.829 0.329 0.500  0.00

- uncorrected energy (Ry per atom) = -0.227
- space group = P4/mbm (127)
- formation energy from the elements (meV/atom) = -74

---

Below is a geometry-optimized CaSc2Tl structure, with properties calculated at the PBE level.

Cell: 10.872 10.872 10.872 Å, 18.34 18.34 18.34°
Each line ends with the local moment (μB).
Positions (direct):
1 Sc 0.248 0.248 0.248  0.28
2 Sc 0.993 0.993 0.993  0.32
3 Ca 0.755 0.755 0.755  0.01
4 Tl 0.504 0.504 0.504  0.01

- uncorrected energy (Ry per atom) = -0.315
- space group = R3m (160)
- formation energy from the elements (meV/atom) = -25